Entry from Alexandria via LeMat-Bulk: CaPm2Zn3 after structural relaxation (PBE).

CIF file:
```
data_CaPm2Zn3
_cell_length_a 3.6575
_cell_length_b 3.6575
_cell_length_c 11.0845
_cell_angle_alpha 90.00
_cell_angle_beta 90.00
_cell_angle_gamma 90.00
_space_group_name_H-M_alt 'P 4/m m m'
_space_group_IT_number 123
_space_group_name_Hall '-P 4 2'
loop_
_atom_site_label
_atom_site_type_symbol
_atom_site_fract_x
_atom_site_fract_y
_atom_site_fract_z
_atom_site_occupancy
Ca1 Ca 0.0000 0.0000 0.0000 1
Pm1 Pm 0.0000 0.0000 0.3362 1
Zn1 Zn 0.5000 0.5000 0.1741 1
Zn2 Zn 0.5000 0.5000 0.5000 1
```

size of the total moment: 0.0 μB/f.u.
ΔE_f: -0.30 eV per atom
energy above the most stable polymorph in this dataset: 0.008 eV/atom

***

Entry from Alexandria via LeMat-Bulk: CaPmZn17 after structural relaxation (PBE).

CIF file:
```
data_CaPmZn17
_cell_length_a 9.0507
_cell_length_b 9.0507
_cell_length_c 13.2342
_cell_angle_alpha 90.00
_cell_angle_beta 90.00
_cell_angle_gamma 120.00
_space_group_name_H-M_alt 'R 3 m'
_space_group_IT_number 160
_space_group_name_Hall 'R 3 -2"'
loop_
_atom_site_label
_atom_site_type_symbol
_atom_site_fract_x
_atom_site_fract_y
_atom_site_fract_z
_atom_site_occupancy
Ca1 Ca 0.0000 0.0000 0.0000 1
Pm1 Pm 0.0000 0.0000 0.6724 1
Zn1 Zn 0.0000 0.0000 0.2368 1
Zn2 Zn 0.0000 0.0000 0.4358 1
Zn3 Zn 0.0089 0.5045 0.4899 1
Zn4 Zn 0.0383 0.3708 0.0034 1
Zn5 Zn 0.1672 0.3344 0.1707 1
Zn6 Zn 0.1709 0.3418 0.5173 1
```

size of the total moment: 0.0 μB/f.u.
ΔE_f: -0.22 eV per atom